a) Here is an optimized crystal structure of LiPmAs from Alexandria via LeMat-Bulk. Energies are from PBE-GGA.

calculated volume	140.2	Å³ per cell

Cell lengths 5.588, 5.588, 6.200 Å; angles 99.90, 99.90, 47.50 degrees
Element x y z (fractional)
Li  0.118  0.118  0.406
Li  0.882  0.882  0.594
Pm  0.372  0.372  0.227
Pm  0.628  0.628  0.773
As  0.329  0.329  0.745
As  0.671  0.671  0.255


b) Here is an optimized crystal structure of LiPmAs from Alexandria via LeMat-Bulk. Energies are from PBE-GGA.

calculated volume	125.8	Å³ per cell

Cell lengths 4.182, 4.182, 7.193 Å; angles 90.00, 90.00, 90.00 degrees
Element x y z (fractional)
Li  0.250  0.750  0.000
Li  0.750  0.250  0.000
Pm  0.250  0.250  0.343
Pm  0.750  0.750  0.657
As  0.250  0.250  0.768
As  0.750  0.750  0.232


Most favorable first, least favorable last: b), a)


a) Here is an optimized crystal structure of Li2PmAs from Alexandria via LeMat-Bulk. Energies are from PBE-GGA.

calculated volume	88.4	Å³ per cell

Cell lengths 4.209, 4.209, 4.990 Å; angles 90.00, 90.00, 90.00 degrees
Element x y z (fractional)
Li  0.000  0.500  0.000
Li  0.500  0.000  0.000
Pm  0.000  0.000  0.500
As  0.500  0.500  0.500


b) Here is an optimized crystal structure of Li2PmAs from Alexandria via LeMat-Bulk. Energies are from PBE-GGA.

calculated volume	70.6	Å³ per cell

Cell lengths 4.639, 4.639, 4.639 Å; angles 60.00, 60.00, 60.00 degrees
Element x y z (fractional)
Li  0.250  0.250  0.250
Li  0.750  0.750  0.750
Pm  0.000  0.000  0.000
As  0.500  0.500  0.500


Most favorable first, least favorable last: a), b)


a) Here is an optimized crystal structure of LiPrAs from Alexandria via LeMat-Bulk. Energies are from PBE-GGA.

calculated volume	68.0	Å³ per cell

Cell lengths 5.770, 5.770, 5.770 Å; angles 143.35, 143.35, 52.80 degrees
Element x y z (fractional)
Li  0.000  0.000  0.000
Pr  0.283  0.283  0.000
As  0.591  0.591  0.000


b) Here is an optimized crystal structure of LiPrAs from Alexandria via LeMat-Bulk. Energies are from PBE-GGA.

calculated volume	147.3	Å³ per cell

Cell lengths 8.042, 8.042, 4.435 Å; angles 90.00, 90.00, 149.09 degrees
Element x y z (fractional)
Li  0.000  0.000  0.000
Li  0.000  0.000  0.500
Pr  0.338  0.662  0.750
Pr  0.662  0.338  0.250
As  0.147  0.853  0.750
As  0.853  0.147  0.250


Most favorable first, least favorable last: b), a)


a) Here is an optimized crystal structure of LiAs2Pt2 from Alexandria via LeMat-Bulk. Energies are from PBE-GGA.

calculated volume	172.5	Å³ per cell

Cell lengths 7.317, 7.317, 3.221 Å; angles 90.00, 90.00, 90.00 degrees
Element x y z (fractional)
Li  0.000  0.000  0.000
Li  0.500  0.500  0.000
As  0.164  0.336  0.500
As  0.336  0.836  0.500
As  0.664  0.164  0.500
As  0.836  0.664  0.500
Pt  0.140  0.640  0.000
Pt  0.360  0.140  0.000
Pt  0.640  0.860  0.000
Pt  0.860  0.360  0.000


b) Here is an optimized crystal structure of LiAs2Pt2 from Alexandria via LeMat-Bulk. Energies are from PBE-GGA.

calculated volume	97.1	Å³ per cell

Cell lengths 5.872, 5.872, 5.872 Å; angles 135.79, 135.79, 64.31 degrees
Element x y z (fractional)
Li  0.000  0.000  0.000
As  0.370  0.370  0.000
As  0.630  0.630  0.000
Pt  0.250  0.750  0.500
Pt  0.750  0.250  0.500


c) Here is an optimized crystal structure of LiAs2Pt2 from Alexandria via LeMat-Bulk. Energies are from PBE-GGA.

calculated volume	98.7	Å³ per cell

Cell lengths 5.596, 5.596, 5.596 Å; angles 130.62, 130.62, 72.42 degrees
Element x y z (fractional)
Li  0.000  0.000  0.000
As  0.250  0.750  0.500
As  0.750  0.250  0.500
Pt  0.353  0.353  0.000
Pt  0.647  0.647  0.000


Most favorable first, least favorable last: b), c), a)